The following is a GGA-PBE calculation of crystalline CeBeAs2O8 at its relaxed geometry, from the Alexandria database.

abc: 5.2607 5.2607 6.2773
angles: 90.00 90.00 120.00
Space group P-3 (No. 147)
Unique sites:
Ce 0.0000 0.0000 0.0000 x1
Be 0.0000 0.0000 0.5000 x1
As 0.3333 0.6667 0.7606 x2
O 0.1225 0.3058 0.6878 x6
O 0.3333 0.6667 0.0322 x2

Properties
Crystal system = trigonal
E_form (uncorrected) = -21.569 eV per formula unit